DFT (PBE with a Hubbard U) results for InHgMoO6 after structural relaxation.

Cell: 5.806 5.442 4.855 Å, 95.77 100.87 57.76°
Fractional positions:
In (0.679, 0.642, 0.500)
Hg (0.007, 0.985, 0.000)
Mo (0.346, 0.309, 0.500)
O (0.005, 0.349, 0.263)
O (0.392, 0.039, 0.732)
O (0.646, 0.349, 0.737)
O (0.034, 0.644, 0.705)
O (0.322, 0.644, 0.295)
O (0.569, 0.039, 0.268)

Properties
Its density of states at the Fermi level is 3.59 states/eV per cell. The mass density is 6611 kg/m³. The value obtained for the total energy is -5.437 eV/atom. As for the symmetry: C2.